Version a
A plane-wave DFT calculation with GGA-PBE was carried out for crystalline Hf3HgSb at its relaxed geometry.

The calculation puts the density at 13.04 g cm⁻³. Its total magnetic moment is 0.0 μB/f.u. As for the density of states at the Fermi level: 17.1 states/eV per cell.

a = 8.0213 Å, b = 8.0213 Å, c = 10.5677 Å
α = 100.28°, β = 100.28°, γ = 40.89°
With the nearest neighbours (Å) after each atom.
Element x y z (fractional)
Hf1 0.0795 0.1198 0.7717  6 Hf 2.94-3.27, 2 Hg 3.02-3.12, 3 Sb 3.13-3.24
Hf2 0.1198 0.0795 0.2717  6 Hf 2.94-3.27, 2 Hg 3.02-3.12, 3 Sb 3.13-3.24
Hf3 0.1948 0.7019 0.9855  3 Hg 2.96-3.19, 3 Sb 3.01-3.13, 4 Hf 3.07-3.23
Hf4 0.2644 0.3290 0.7365  3 Sb 2.93-3.24, 3 Hg 2.98-3.26, 5 Hf 3.06-3.27
Hf5 0.2981 0.8052 0.5145  3 Hg 2.96-3.19, 3 Sb 3.01-3.13, 4 Hf 3.07-3.23
Hf6 0.3290 0.2644 0.2365  3 Sb 2.93-3.24, 3 Hg 2.98-3.26, 5 Hf 3.06-3.27
Hf7 0.6710 0.7356 0.7635  3 Sb 2.93-3.24, 3 Hg 2.98-3.26, 5 Hf 3.06-3.27
Hf8 0.7019 0.1948 0.4855  3 Hg 2.96-3.19, 3 Sb 3.01-3.13, 4 Hf 3.07-3.23
Hf9 0.7356 0.6710 0.2635  3 Sb 2.93-3.24, 3 Hg 2.98-3.26, 5 Hf 3.06-3.27
Hf10 0.8052 0.2981 0.0145  3 Hg 2.96-3.19, 3 Sb 3.01-3.13, 4 Hf 3.07-3.23
Hf11 0.8802 0.9205 0.7283  6 Hf 2.94-3.27, 2 Hg 3.02-3.12, 3 Sb 3.13-3.24
Hf12 0.9205 0.8802 0.2283  6 Hf 2.94-3.27, 2 Hg 3.02-3.12, 3 Sb 3.13-3.24
Hg1 0.0976 0.6049 0.4760  8 Hf 2.96-3.26, 1 Hg 3.18, 2 Sb 3.20-3.24
Hg2 0.3951 0.9024 0.0240  8 Hf 2.96-3.26, 1 Hg 3.18, 2 Sb 3.20-3.24
Hg3 0.6049 0.0976 0.9760  8 Hf 2.96-3.26, 1 Hg 3.18, 2 Sb 3.20-3.24
Hg4 0.9024 0.3951 0.5240  8 Hf 2.96-3.26, 1 Hg 3.18, 2 Sb 3.20-3.24
Sb1 0.0000 0.5000 0.0000  8 Hf 2.93-3.24, 4 Hg 3.20-3.24
Sb2 0.4870 0.5130 0.7500  10 Hf 3.03-3.20
Sb3 0.5000 0.0000 0.5000  8 Hf 2.93-3.24, 4 Hg 3.20-3.24
Sb4 0.5130 0.4870 0.2500  10 Hf 3.03-3.20

Version b
A plane-wave DFT calculation with GGA-PBE was carried out for crystalline Hf3HgSb at its relaxed geometry.

The calculation puts the density at 10.04 g cm⁻³. Its total magnetic moment is 0.0 μB/f.u. As for the density of states at the Fermi level: 5.8 states/eV per cell.

a = 5.2150 Å, b = 5.2150 Å, c = 5.2150 Å
α = 90.00°, β = 90.00°, γ = 90.00°
With the nearest neighbours (Å) after each atom.
Element x y z (fractional)
Hf1 0.0000 0.0000 0.5000  2 Sb 2.61
Hf2 0.0000 0.5000 0.0000  2 Sb 2.61
Hf3 0.5000 0.0000 0.0000  2 Sb 2.61
Hg1 0.5000 0.5000 0.5000  12 Hf 3.69
Sb1 0.0000 0.0000 0.0000  6 Hf 2.61

Quick one: most stable of them? version a

Version a
A plane-wave DFT calculation with GGA-PBE was carried out for crystalline HfHgSbTe2 at its relaxed geometry.

The calculation puts the density at 7.23 g cm⁻³. Its total magnetic moment is 0.0 μB/f.u. As for the density of states at the Fermi level: 4.4 states/eV per cell.

a = 5.5408 Å, b = 5.5408 Å, c = 5.6577 Å
α = 90.00°, β = 90.00°, γ = 90.00°
With the nearest neighbours (Å) after each atom.
Element x y z (fractional)
Hf1 0.0000 0.0000 0.0000  4 Te 2.77, 2 Sb 2.83
Hg1 0.5000 0.5000 0.5000  4 Sb 3.92, 8 Te 3.96
Sb1 0.0000 0.0000 0.5000  2 Hf 2.83
Te1 0.0000 0.5000 0.0000  2 Hf 2.77
Te2 0.5000 0.0000 0.0000  2 Hf 2.77

Version b
A plane-wave DFT calculation with GGA-PBE was carried out for crystalline HfHgSbTe2 at its relaxed geometry.

The calculation puts the density at 7.75 g cm⁻³. Its total magnetic moment is 0.0 μB/f.u. As for the density of states at the Fermi level: 6.0 states/eV per cell.

a = 5.4598 Å, b = 5.4598 Å, c = 5.4360 Å
α = 90.00°, β = 90.00°, γ = 90.00°
With the nearest neighbours (Å) after each atom.
Element x y z (fractional)
Hf1 0.0000 0.0000 0.0000  8 Te 3.85, 4 Sb 3.86
Hg1 0.5000 0.5000 0.5000  2 Sb 2.72, 4 Te 2.73
Sb1 0.5000 0.5000 0.0000  2 Hg 2.72
Te1 0.0000 0.5000 0.5000  2 Hg 2.73
Te2 0.5000 0.0000 0.5000  2 Hg 2.73

Quick one: most stable of them? version a

Version a
A plane-wave DFT calculation with GGA-PBE was carried out for crystalline Hf2ScHg2 at its relaxed geometry.

The calculation puts the density at 11.76 g cm⁻³. Its total magnetic moment is 1.0 μB/f.u. As for the density of states at the Fermi level: 11.0 states/eV per cell.

a = 8.5615 Å, b = 8.5615 Å, c = 3.0944 Å
α = 90.00°, β = 90.00°, γ = 90.00°
With the nearest neighbours (Å) after each atom.
Element x y z (fractional)
Hf1 0.1222 0.3778 0.0000  6 Hg 2.90-3.01, 3 Hf 2.96-3.09
Hf2 0.3778 0.8778 0.0000  6 Hg 2.90-3.01, 3 Hf 2.96-3.09
Hf3 0.6222 0.1222 0.0000  6 Hg 2.90-3.01, 3 Hf 2.96-3.09
Hf4 0.8778 0.6222 0.0000  6 Hg 2.90-3.01, 3 Hf 2.96-3.09
Sc1 0.0000 0.0000 0.0000  2 Sc 3.09, 4 Hf 3.40
Sc2 0.5000 0.5000 0.0000  2 Sc 3.09, 4 Hf 3.40
Hg1 0.1753 0.6753 0.5000  6 Hf 2.90-3.01, 2 Hg 3.09
Hg2 0.3247 0.1753 0.5000  6 Hf 2.90-3.01, 2 Hg 3.09
Hg3 0.6753 0.8247 0.5000  6 Hf 2.90-3.01, 2 Hg 3.09
Hg4 0.8247 0.3247 0.5000  6 Hf 2.90-3.01, 2 Hg 3.09

Version b
A plane-wave DFT calculation with GGA-PBE was carried out for crystalline Hf2ScHg2 at its relaxed geometry.

The calculation puts the density at 11.95 g cm⁻³. Its total magnetic moment is 0.0 μB/f.u. As for the density of states at the Fermi level: 8.5 states/eV per cell.

a = 7.5786 Å, b = 7.5786 Å, c = 3.8850 Å
α = 90.00°, β = 90.00°, γ = 90.00°
With the nearest neighbours (Å) after each atom.
Element x y z (fractional)
Hf1 0.1726 0.3274 0.0000  6 Hg 2.86-3.03
Hf2 0.3274 0.8274 0.0000  6 Hg 2.86-3.03
Hf3 0.6726 0.1726 0.0000  6 Hg 2.86-3.03
Hf4 0.8274 0.6726 0.0000  6 Hg 2.86-3.03
Sc1 0.0000 0.0000 0.5000  4 Hg 2.96
Sc2 0.5000 0.5000 0.5000  4 Hg 2.96
Hg1 0.1321 0.6321 0.5000  1 Hg 2.83, 6 Hf 2.86-3.03, 2 Sc 2.96
Hg2 0.3679 0.1321 0.5000  1 Hg 2.83, 6 Hf 2.86-3.03, 2 Sc 2.96
Hg3 0.6321 0.8679 0.5000  1 Hg 2.83, 6 Hf 2.86-3.03, 2 Sc 2.96
Hg4 0.8679 0.3679 0.5000  1 Hg 2.83, 6 Hf 2.86-3.03, 2 Sc 2.96

Quick one: most stable of them? version b

Version a
A plane-wave DFT calculation with GGA-PBE was carried out for crystalline Hf2HgSe2 at its relaxed geometry.

The calculation puts the density at 9.83 g cm⁻³. Its total magnetic moment is 0.0 μB/f.u. As for the density of states at the Fermi level: 5.6 states/eV per cell.

a = 6.4779 Å, b = 6.4779 Å, c = 6.4779 Å
α = 137.89°, β = 137.89°, γ = 61.08°
With the nearest neighbours (Å) after each atom.
Element x y z (fractional)
Hf1 0.2500 0.7500 0.5000  4 Se 2.64
Hf2 0.7500 0.2500 0.5000  4 Se 2.64
Hg1 0.0000 0.0000 0.0000  8 Hf 3.63, 10 Se 3.64-4.03
Se1 0.3614 0.3614 0.0000  4 Hf 2.64
Se2 0.6385 0.6385 0.0000  4 Hf 2.64

Version b
A plane-wave DFT calculation with GGA-PBE was carried out for crystalline Hf2HgSe2 at its relaxed geometry.

The calculation puts the density at 11.67 g cm⁻³. Its total magnetic moment is 0.0 μB/f.u. As for the density of states at the Fermi level: 5.6 states/eV per cell.

a = 7.8712 Å, b = 7.8712 Å, c = 3.2869 Å
α = 90.00°, β = 90.00°, γ = 90.00°
With the nearest neighbours (Å) after each atom.
Element x y z (fractional)
Hf1 0.1506 0.3494 0.0000  6 Se 2.80-2.88
Hf2 0.3494 0.8494 0.0000  6 Se 2.80-2.88
Hf3 0.6506 0.1506 0.0000  6 Se 2.80-2.88
Hf4 0.8494 0.6506 0.0000  6 Se 2.80-2.88
Hg1 0.0000 0.0000 0.5000  4 Se 3.05, 2 Hg 3.29, 8 Hf 3.42
Hg2 0.5000 0.5000 0.5000  4 Se 3.05, 2 Hg 3.29, 8 Hf 3.42
Se1 0.1375 0.6375 0.5000  6 Hf 2.80-2.88, 2 Hg 3.05, 1 Se 3.06
Se2 0.3625 0.1375 0.5000  6 Hf 2.80-2.88, 2 Hg 3.05, 1 Se 3.06
Se3 0.6375 0.8625 0.5000  6 Hf 2.80-2.88, 2 Hg 3.05, 1 Se 3.06
Se4 0.8625 0.3625 0.5000  6 Hf 2.80-2.88, 2 Hg 3.05, 1 Se 3.06

Quick one: most stable of them? version a